Entry 1:
Entry from the Alexandria database: crystalline Ba3Hg3Sb2 at its relaxed geometry (PBE-GGA).

## Properties
Total magnetization   0.00 μB/f.u.
E_form (uncorrected)   -0.700 eV/atom

Cell: 4.8338 13.3815 18.5813 Å, 90.00 90.00 90.00°
Space group Cmcm (No. 63)
One atom of each set of equivalent atoms:
Ba: 0.0000 0.0984 0.2500
Ba: 0.0000 0.3603 0.0834
Hg: 0.0000 0.0482 0.0701
Hg: 0.0000 0.1646 0.7500
Sb: 0.0000 0.3283 0.6162


Entry 2:
Entry from the Alexandria database: crystalline KIrSe2 at its relaxed geometry (PBE-GGA).

## Properties
Total magnetization   0.03 μB/f.u.
E_form (uncorrected)   -0.050 eV/atom

Cell: 3.5574 3.5574 8.0802 Å, 90.00 90.00 90.00°
Space group P4mm (No. 99)
One atom of each set of equivalent atoms:
K: 0.0000 0.0000 0.0000
Ir: 0.5000 0.5000 0.5357
Se: 0.0000 0.0000 0.6062
Se: 0.5000 0.5000 0.2417


Entry 3:
Entry from the Alexandria database: crystalline Pr2Dy2Bi2C at its relaxed geometry (PBE-GGA).

## Properties
Total magnetization   0.00 μB/f.u.
ΔH_f (0 K)   -0.70 eV per atom

Cell: 4.8666 4.8666 16.7013 Å, 90.00 90.00 90.00°
Space group I4/mmm (No. 139)
One atom of each set of equivalent atoms:
Pr: 0.0000 0.0000 0.1599
Dy: 0.0000 0.5000 0.0000
Bi: 0.0000 0.0000 0.3621
C: 0.0000 0.0000 0.0000


Ordered density of states at the Fermi level results: 0.37 1.18 0.98; unit states/eV/atom.